Entry from OQMD via LeMat-Bulk: crystalline TlCuTeWS2 at its relaxed geometry (GGA-PBE).

Output
M_tot   0.4 μB/cell
Electronic total energy   -5.241 eV/atom

a = 8.276 Å, b = 8.276 Å, c = 9.919 Å
α = 90.00°, β = 90.00°, γ = 156.19°
Last column: magnetic moment on the atom in μB.
Element x y z (fractional)
1 Te 0.085 0.915 0.250  -0.01
2 Te 0.915 0.085 0.750  -0.01
3 Cu 0.459 0.541 0.250  0.01
4 Cu 0.541 0.459 0.750  0.01
5 S 0.395 0.605 0.049  0.00
6 S 0.605 0.395 0.951  0.00
7 S 0.605 0.395 0.549  0.00
8 S 0.395 0.605 0.451  0.00
9 Tl 0.226 0.774 0.750  0.00
10 Tl 0.774 0.226 0.250  0.00
11 W 0.000 0.000 0.500  0.14
12 W 0.000 0.000 0.000  0.15